TaTcMo | GGA-PBE | optimized geometry

- V (Å³ per atom) = 16.152
- excess energy over the best structure of this formula in the dataset (meV/atom) = 64
- E_form (eV/atom) = -0.203
- crystal system = tetragonal
- space group = I4mm (107)
- magnetic moment (μB/f.u.) = 0.0

Lattice parameters (Å, degrees): 5.2934 5.2934 5.2934 145.04 145.04 50.27
Closest atoms and distances in Å follow each position.
Fractional positions:
Ta 0.0000 0.0000 0.0000  4 Tc 2.76, 4 Mo 2.78
Tc 0.3334 0.3334 0.0000  4 Mo 2.74, 4 Ta 2.76
Mo 0.6707 0.6707 0.0000  4 Tc 2.74, 4 Ta 2.78